Entry from the Alexandria database: a relaxed structure of RbAsI2N (GGA-PBE).

Calculated values
- Energy relative to the lowest polymorph listed for this composition: 1219 meV per atom
- Symmetry: P4/mmm, No. 123
- E: -10.885 eV/cell

Structure (extended XYZ):
```
5
Lattice="-3.7169 -0.4786 5.8072 -4.6405 -3.9227 -3.2934 2.8862 -4.6440 1.4646" Properties=species:S:1:pos:R:3 pbc="T T T"
I -1.8584 -0.2393 2.9036
I -2.3203 -1.9613 -1.6467
N 1.4431 -2.3220 0.7323
As -2.7356 -4.5226 1.9892
Rb 0.0000 0.0000 0.0000
```